(1)
Computed, not measured: a crystal of ZnFe2PPt relaxed with PBEsol at the meta-GGA SCAN level of DFT.

extended XYZ file:
```
5
Lattice="4.625 0.000 0.000 0.000 4.625 0.000 0.000 0.000 4.622" Properties=species:S:1:pos:R:3 pbc="T T T"
Zn 0.000 0.000 0.000
Fe 0.000 2.313 2.311
Fe 2.313 0.000 2.311
P 2.313 2.313 0.000
Pt 0.000 0.000 2.311
```

Raw total energy in eV per formula unit: -126.05
Space group: P4/mmm, No. 123

---

(2)
Computed, not measured: a crystal of FeMoBr relaxed with PBEsol at the meta-GGA SCAN level of DFT.

extended XYZ file:
```
6
Lattice="2.945 0.000 0.000 0.000 2.945 0.000 0.000 0.000 10.078" Properties=species:S:1:pos:R:3 pbc="T T T"
Fe 0.000 0.000 0.000
Fe 1.473 1.473 5.039
Mo 0.000 0.000 6.493
Mo 1.473 1.473 1.455
Br 0.000 0.000 3.269
Br 1.473 1.473 8.308
```

ΔE_f (raw) in eV per formula unit: 2.2
Space group: I4mm, No. 107

---

(3)
Computed, not measured: a crystal of La2BeCr relaxed with PBEsol at the meta-GGA SCAN level of DFT.

extended XYZ file:
```
12
Lattice="4.038 0.000 0.000 -2.019 3.497 0.000 0.000 0.000 20.683" Properties=species:S:1:pos:R:3 pbc="T T T"
La 0.000 0.000 0.000
La 0.000 0.000 3.847
La 0.000 2.332 13.789
La 0.000 2.332 17.636
La 2.019 1.166 6.894
La 2.019 1.166 10.742
Be 0.000 0.000 8.802
Be 0.000 2.332 1.908
Be 2.019 1.166 15.696
Cr 0.000 0.000 15.766
Cr 0.000 2.332 8.871
Cr 2.019 1.166 1.977
```

Raw total energy in eV per formula unit: -108.30
Space group: R3m, No. 160

---

(4)
Computed, not measured: a crystal of TaAl4W relaxed with PBEsol at the meta-GGA SCAN level of DFT.

extended XYZ file:
```
6
Lattice="0.000 3.552 3.552 3.552 0.000 3.552 3.552 3.552 0.000" Properties=species:S:1:pos:R:3 pbc="T T T"
Ta 0.000 0.000 0.000
Al 2.664 2.664 2.664
Al 4.440 4.440 2.664
Al 4.440 2.664 4.440
Al 2.664 4.440 4.440
W 5.328 5.328 5.328
```

Raw total energy in eV per formula unit: -167.18
Space group: F-43m, No. 216

---

(5)
Computed, not measured: a crystal of Y3C4 relaxed with PBEsol at the meta-GGA SCAN level of DFT.

extended XYZ file:
```
70
Lattice="8.020 0.000 0.000 0.000 8.020 0.000 0.000 0.000 15.856" Properties=species:S:1:pos:R:3 pbc="T T T"
Y 0.000 0.000 0.000
Y 0.000 0.000 4.956
Y 0.000 0.000 10.900
Y 0.770 2.383 7.928
Y 0.802 5.701 2.336
Y 0.802 5.701 13.520
Y 1.627 3.240 0.000
Y 1.691 4.812 5.592
Y 1.691 4.812 10.264
Y 2.319 0.802 2.336
Y 2.319 0.802 13.520
Y 2.383 7.250 7.928
Y 3.207 1.691 5.592
Y 3.207 1.691 10.264
Y 3.240 6.393 0.000
Y 4.010 4.010 2.972
Y 4.010 4.010 7.928
Y 4.010 4.010 12.884
Y 4.780 1.627 0.000
Y 4.812 6.329 5.592
Y 4.812 6.329 10.264
Y 5.637 0.770 7.928
Y 5.701 7.217 2.336
Y 5.701 7.217 13.520
Y 6.329 3.207 5.592
Y 6.329 3.207 10.264
Y 6.393 4.780 0.000
Y 7.217 2.319 2.336
Y 7.217 2.319 13.520
Y 7.250 5.637 7.928
C 0.000 0.000 2.492
C 0.000 0.000 7.275
C 0.000 0.000 8.580
C 0.000 0.000 13.364
C 0.787 2.456 5.198
C 0.787 2.456 10.658
C 0.848 5.583 0.000
C 1.209 2.801 3.964
C 1.209 2.801 11.892
C 1.554 3.223 2.730
C 1.554 3.223 13.126
C 1.573 4.858 7.928
C 2.437 0.848 0.000
C 2.456 7.233 5.198
C 2.456 7.233 10.658
C 2.801 6.811 3.964
C 2.801 6.811 11.892
C 3.162 1.573 7.928
C 3.223 6.466 2.730
C 3.223 6.466 13.126
C 4.010 4.010 0.652
C 4.010 4.010 5.436
C 4.010 4.010 10.420
C 4.010 4.010 15.203
C 4.797 1.554 2.730
C 4.797 1.554 13.126
C 4.858 6.447 7.928
C 5.219 1.209 3.964
C 5.219 1.209 11.892
C 5.564 0.787 5.198
C 5.564 0.787 10.658
C 5.583 7.172 0.000
C 6.447 3.162 7.928
C 6.466 4.797 2.730
C 6.466 4.797 13.126
C 6.811 5.219 3.964
C 6.811 5.219 11.892
C 7.172 2.437 0.000
C 7.233 5.564 5.198
C 7.233 5.564 10.658
```

Raw total energy in eV per formula unit: -127.22
Space group: P4/mnc, No. 128

---

(6)
Computed, not measured: a crystal of InIrS2 relaxed with PBEsol at the meta-GGA SCAN level of DFT.

extended XYZ file:
```
16
Lattice="5.866 0.000 0.000 0.000 5.866 0.000 0.000 0.000 10.450" Properties=species:S:1:pos:R:3 pbc="T T T"
In 0.000 0.000 0.000
In 0.000 2.933 2.612
In 2.933 0.000 7.837
In 2.933 2.933 5.225
Ir 0.000 0.000 5.225
Ir 0.000 2.933 7.837
Ir 2.933 0.000 2.612
Ir 2.933 2.933 0.000
S 1.098 1.466 6.531
S 1.466 4.031 9.144
S 1.466 4.767 3.919
S 1.834 1.466 1.306
S 4.031 4.399 1.306
S 4.399 1.098 3.919
S 4.399 1.834 9.144
S 4.767 4.399 6.531
```

ΔE_f (raw) in eV per formula unit: -0.4
Space group: I-42d, No. 122

---

(7)
Computed, not measured: a crystal of CuReAsSe2 relaxed with PBEsol at the meta-GGA SCAN level of DFT.

extended XYZ file:
```
5
Lattice="4.821 0.000 0.000 0.000 4.821 0.000 0.000 0.000 4.767" Properties=species:S:1:pos:R:3 pbc="T T T"
Cu 0.000 0.000 0.000
Re 2.410 2.410 2.384
As 2.410 2.410 0.000
Se 0.000 2.410 2.384
Se 2.410 0.000 2.384
```

ΔE_f (raw) in eV per formula unit: 4.7
Space group: P4/mmm, No. 123

---

(8)
Computed, not measured: a crystal of Ir2PtPb relaxed with PBEsol at the meta-GGA SCAN level of DFT.

extended XYZ file:
```
16
Lattice="6.418 0.000 0.000 0.000 6.418 0.000 0.000 0.000 6.418" Properties=species:S:1:pos:R:3 pbc="T T T"
Ir 0.000 0.000 0.000
Ir 0.000 3.209 3.209
Ir 1.604 1.604 1.604
Ir 1.604 4.813 4.813
Ir 3.209 0.000 3.209
Ir 3.209 3.209 0.000
Ir 4.813 1.604 4.813
Ir 4.813 4.813 1.604
Pt 1.604 1.604 4.813
Pt 1.604 4.813 1.604
Pt 4.813 1.604 1.604
Pt 4.813 4.813 4.813
Pb 0.000 0.000 3.209
Pb 0.000 3.209 0.000
Pb 3.209 0.000 0.000
Pb 3.209 3.209 3.209
```

Raw total energy in eV per formula unit: -285.60
Space group: F-43m, No. 216

---

(9)
Computed, not measured: a crystal of BaReAg2 relaxed with PBEsol at the meta-GGA SCAN level of DFT.

extended XYZ file:
```
16
Lattice="7.069 0.000 0.000 0.000 7.069 0.000 0.000 0.000 7.069" Properties=species:S:1:pos:R:3 pbc="T T T"
Ba 0.000 0.000 0.000
Ba 0.000 3.535 3.535
Ba 3.535 0.000 3.535
Ba 3.535 3.535 0.000
Re 1.767 1.767 5.302
Re 1.767 5.302 1.767
Re 5.302 1.767 1.767
Re 5.302 5.302 5.302
Ag 0.000 0.000 3.535
Ag 0.000 3.535 0.000
Ag 1.767 1.767 1.767
Ag 1.767 5.302 5.302
Ag 3.535 0.000 0.000
Ag 3.535 3.535 3.535
Ag 5.302 1.767 5.302
Ag 5.302 5.302 1.767
```

E above lowest polymorph in eV per atom: 0.295
Space group: F-43m, No. 216

---

(10)
Computed, not measured: a crystal of YBi2RuO relaxed with PBEsol at the meta-GGA SCAN level of DFT.

extended XYZ file:
```
5
Lattice="4.871 0.000 0.000 0.000 4.871 0.000 0.000 0.000 4.336" Properties=species:S:1:pos:R:3 pbc="T T T"
Y 0.000 0.000 0.000
Bi 0.000 2.436 2.168
Bi 2.436 0.000 2.168
Ru 2.436 2.436 0.000
O 0.000 0.000 2.168
```

ΔE_f (raw) in eV per formula unit: -1.8
Space group: P4/mmm, No. 123

---

(11)
Computed, not measured: a crystal of Y3FeRe relaxed with PBEsol at the meta-GGA SCAN level of DFT.

extended XYZ file:
```
5
Lattice="4.863 0.000 0.000 0.000 4.863 0.000 0.000 0.000 4.863" Properties=species:S:1:pos:R:3 pbc="T T T"
Y 0.000 0.000 2.432
Y 0.000 2.432 0.000
Y 2.432 0.000 0.000
Fe 0.000 0.000 0.000
Re 2.432 2.432 2.432
```

Raw total energy in eV per formula unit: -168.31
Space group: Pm-3m, No. 221

---

(12)
Computed, not measured: a crystal of HfPPdCl2 relaxed with PBEsol at the meta-GGA SCAN level of DFT.

extended XYZ file:
```
5
Lattice="4.768 0.000 0.000 0.000 4.768 0.000 0.000 0.000 5.098" Properties=species:S:1:pos:R:3 pbc="T T T"
Hf 0.000 0.000 0.000
P 0.000 0.000 2.549
Pd 2.384 2.384 2.549
Cl 0.000 2.384 0.000
Cl 2.384 0.000 0.000
```

ΔE_f (raw) in eV per formula unit: -1.7
Space group: P4/mmm, No. 123

---

(13)
Computed, not measured: a crystal of LiCa relaxed with PBEsol at the meta-GGA SCAN level of DFT.

extended XYZ file:
```
8
Lattice="3.910 0.000 0.000 0.000 12.453 0.000 0.000 0.000 5.117" Properties=species:S:1:pos:R:3 pbc="T T T"
Li 0.000 0.862 1.279
Li 0.000 11.591 3.838
Li 1.955 5.365 3.838
Li 1.955 7.088 1.279
Ca 0.000 4.297 1.279
Ca 0.000 8.156 3.838
Ca 1.955 1.930 3.838
Ca 1.955 10.523 1.279
```

E above lowest polymorph in eV per atom: 0.018
Space group: Cmcm, No. 63